Below is a PBEsol-optimized structure of P4N3Cl11, with properties calculated at the meta-GGA SCAN level.

Results
Electronic total energy = -9.445 eV/atom
Total magnetization = 0.14 Bohr magnetons per cell

Lattice parameters (Å, degrees): 7.8561 7.8561 7.8561 86.36 86.36 86.36
With the nearest neighbours (Å) after each atom.
Sites, in units of the cell vectors:
P  0.9151  0.4960  0.4090  1 N 1.56
Cl  0.6986  0.2437  0.9339  1 P 2.00
P  0.4960  0.4090  0.9151  1 N 1.56
Cl  0.1228  0.4962  0.5446  1 P 2.00
Cl  0.2915  0.2723  0.9511  1 P 1.98
N  0.5229  0.7462  0.4858  2 P 1.56-1.60
N  0.7462  0.4858  0.5229  2 P 1.56-1.60
N  0.4858  0.5229  0.7462  2 P 1.56-1.60
Cl  0.9511  0.2915  0.2723  1 P 1.98
P  0.6207  0.6207  0.6207  3 N 1.60
Cl  0.7613  0.7613  0.7613  1 P 2.03
Cl  0.5446  0.1228  0.4962  1 P 2.00
Cl  0.9339  0.6986  0.2437  1 P 2.00
Cl  0.4962  0.5446  0.1228  1 P 2.00
P  0.4090  0.9151  0.4960  1 N 1.56
Cl  0.2723  0.9511  0.2915  1 P 1.98
Cl  0.2437  0.9339  0.6986  1 P 2.00
Cl  0.0147  0.0147  0.0147  6 Cl 3.05-3.06

---

Below is a PBEsol-optimized structure of PNCl2, with properties calculated at the meta-GGA SCAN level.

Results
Polymorph energy (0 for the lowest one) = 2360 meV/atom
Electronic total energy = -7.276 eV/atom
Total magnetization = 4.00 Bohr magnetons per cell

Lattice parameters (Å, degrees): 6.0038 6.1422 6.0038 60.74 90.00 119.26
With the nearest neighbours (Å) after each atom.
Sites, in units of the cell vectors:
N  0.2500  0.5000  0.2500  4 Cl 1.87
Cl  0.3750  0.7500  0.8750  2 N 1.87
Cl  0.3750  0.7500  0.3750  2 N 1.87
Cl  0.8750  0.2500  0.3750  2 N 1.87
P  0.0000  0.0000  0.0000  12 Cl 3.53-3.65, 4 N 3.73, 4 P 3.73
P  0.7500  0.5000  0.7500  12 Cl 3.53-3.65, 4 N 3.73, 4 P 3.73
Cl  0.3750  0.2500  0.3750  2 N 1.87
N  0.5000  0.0000  0.5000  4 Cl 1.87

---

Below is a PBEsol-optimized structure of PPbNCl2, with properties calculated at the meta-GGA SCAN level.

Results
Polymorph energy (0 for the lowest one) = 0 meV/atom
Electronic total energy = -22.042 eV/atom
Total magnetization = 0.00 Bohr magnetons per cell

Lattice parameters (Å, degrees): 3.2521 5.7137 5.7137 90.00 90.00 90.00
With the nearest neighbours (Å) after each atom.
Sites, in units of the cell vectors:
Cl  0.0000  0.5000  0.0000  2 N 2.86
N  0.0000  0.0000  0.0000  2 P 1.63
P  0.5000  0.0000  0.0000  2 N 1.63
Cl  0.0000  0.0000  0.5000  2 N 2.86
Pb  0.5000  0.5000  0.5000  2 Pb 3.25, 8 Cl 3.29

---

Below is a PBEsol-optimized structure of PPbNCl2, with properties calculated at the meta-GGA SCAN level.

Results
Polymorph energy (0 for the lowest one) = 678 meV/atom
Electronic total energy = -21.364 eV/atom
Total magnetization = 5.08 Bohr magnetons per cell

Lattice parameters (Å, degrees): 5.4536 5.4536 5.4459 90.00 90.00 90.00
With the nearest neighbours (Å) after each atom.
Sites, in units of the cell vectors:
N  0.5000  0.5000  0.5000  8 Cl 3.85, 4 P 3.86
Cl  0.0000  0.5000  0.0000  2 Pb 2.73
Cl  0.5000  0.0000  0.0000  2 Pb 2.73
Pb  0.0000  0.0000  0.0000  2 P 2.72, 4 Cl 2.73
P  0.0000  0.0000  0.5000  2 Pb 2.72